[1]
Here is a relaxed LiAc8Os2 crystal from Alexandria. Energies are from PBE-GGA.

Summary:
DFT total energy	-5.1384	eV/atom
symmetry	No. 12
ρ	8.936	Mg/m³

Structure (POSCAR):
```
LiAc8Os2
1.0
4.6413 -7.1943 0.0000
4.6413 7.1943 0.0000
-1.4208 0.0000 6.1315
Li Ac Os
1 8 2
Cartesian
0.0000 0.0000 0.0000
1.0857 1.9000 3.5259
4.6413 3.6021 0.0000
1.0857 -1.9000 3.5259
3.3714 0.0000 1.3147
4.4903 0.0000 4.8168
6.7760 1.9000 2.6056
4.6413 -3.6021 0.0000
6.7760 -1.9000 2.6056
3.9309 2.8746 3.0658
3.9309 -2.8746 3.0658
```



[2]
Here is a relaxed Tb4ScIn crystal from Alexandria. Energies are from PBE-GGA.

Summary:
DFT total energy	-4.3037	eV/atom
symmetry	No. 12
ρ	6.550	Mg/m³

Structure (POSCAR):
```
Tb4ScIn
1.0
4.5244 -2.6150 0.0000
4.5244 2.6150 0.0000
-3.0360 0.0000 8.5230
Tb Sc In
4 1 1
Cartesian
-0.0104 0.0000 3.1433
3.0152 0.0000 0.9924
2.9976 0.0000 7.5305
6.0233 0.0000 5.3797
0.0000 0.0000 0.0000
3.0064 0.0000 4.2615
```



[3]
Here is a relaxed Rb2OsSeF6 crystal from Alexandria. Energies are from PBE-GGA.

Summary:
formation energy from raw total energies	-1667	kJ/mol of formula units
symmetry	No. 139
ρ	3.979	Mg/m³

Structure (POSCAR):
```
Rb2OsSeF6
1.0
-3.3704 3.3704 5.0897
3.3704 -3.3704 5.0897
3.3704 3.3704 -5.0897
Rb Os Se F
2 1 1 6
Cartesian
3.3704 0.0000 2.5449
0.0000 3.3704 2.5449
0.0000 0.0000 0.0000
0.0000 0.0000 5.0897
0.0000 0.0000 1.9450
1.3916 1.3916 0.0000
1.9789 -1.9789 5.0897
-1.9789 1.9789 5.0897
1.9789 1.9789 5.0897
0.0000 0.0000 8.2345
```



[4]
Here is a relaxed Pu3Th2TaN6 crystal from Alexandria. Energies are from PBE-GGA.

Summary:
formation energy from raw total energies	-1514	kJ/mol of formula units
symmetry	No. 12
ρ	13.597	Mg/m³

Structure (POSCAR):
```
Pu3Th2TaN6
1.0
3.0308 -5.2506 0.0000
3.0308 5.2506 0.0000
-1.9990 0.0000 5.6065
Pu Th Ta N
3 2 1 6
Cartesian
0.0000 0.0000 0.0000
3.0308 1.7334 0.0000
3.0308 -1.7334 0.0000
2.0313 3.5012 2.8032
2.0313 -3.5012 2.8032
2.0313 0.0000 2.8032
1.1183 1.5802 1.4732
0.1987 0.0000 4.1678
1.1183 -1.5802 1.4732
2.9442 1.5802 4.1333
3.8638 0.0000 1.4387
2.9442 -1.5802 4.1333
```



[5]
Here is a relaxed Pr9Er2Th crystal from Alexandria. Energies are from PBE-GGA.

Summary:
DFT total energy	-4.9289	eV/atom
symmetry	No. 123
ρ	7.273	Mg/m³

Structure (POSCAR):
```
Pr9Er2Th
1.0
5.1880 0.0000 0.0000
0.0000 5.1880 0.0000
0.0000 0.0000 15.5642
Pr Er Th
9 2 1
Cartesian
0.0000 0.0000 0.0000
0.0000 0.0000 5.2260
0.0000 0.0000 10.3382
0.0000 2.5940 2.5718
0.0000 2.5940 7.7821
0.0000 2.5940 12.9924
2.5940 0.0000 2.5718
2.5940 0.0000 7.7821
2.5940 0.0000 12.9924
2.5940 2.5940 5.2029
2.5940 2.5940 10.3613
2.5940 2.5940 0.0000
```



[6]
Here is a relaxed ZnAgB3 crystal from Alexandria. Energies are from PBE-GGA.

Summary:
DFT total energy	-2.7779	eV/atom
symmetry	No. 221
ρ	4.486	Mg/m³

Structure (POSCAR):
```
ZnAgB3
1.0
4.2386 0.0000 0.0000
0.0000 4.2386 0.0000
0.0000 0.0000 4.2386
Zn Ag B
1 1 3
Cartesian
0.0000 0.0000 0.0000
2.1193 2.1193 2.1193
0.0000 2.1193 2.1193
2.1193 0.0000 2.1193
2.1193 2.1193 0.0000
```



[7]
Here is a relaxed Tb2Nd9Y crystal from Alexandria. Energies are from PBE-GGA.

Summary:
DFT total energy	-4.8719	eV/atom
symmetry	No. 123
ρ	6.848	Mg/m³

Structure (POSCAR):
```
Tb2Nd9Y
1.0
5.1657 0.0000 0.0000
0.0000 5.1657 0.0000
0.0000 0.0000 15.4924
Tb Nd Y
2 9 1
Cartesian
0.0000 0.0000 2.5840
0.0000 0.0000 12.9084
0.0000 2.5829 0.0000
0.0000 2.5829 5.1575
0.0000 2.5829 10.3349
2.5829 0.0000 0.0000
2.5829 0.0000 5.1575
2.5829 0.0000 10.3349
2.5829 2.5829 2.5786
2.5829 2.5829 7.7462
2.5829 2.5829 12.9138
0.0000 0.0000 7.7462
```



[8]
Here is a relaxed Ho6CdOs crystal from Alexandria. Energies are from PBE-GGA.

Summary:
DFT total energy	-4.9034	eV/atom
symmetry	No. 2
ρ	8.359	Mg/m³

Structure (POSCAR):
```
Ho6CdOs
1.0
6.8320 0.0000 0.0000
-3.4144 5.9271 0.0000
-3.4045 -1.9733 6.3394
Ho Cd Os
6 1 1
Cartesian
-0.8830 -0.0265 1.6284
-1.2841 3.7458 1.6264
-2.1711 1.7413 4.7129
2.1842 2.2125 1.6265
1.2972 0.2080 4.7131
0.8961 3.9803 4.7110
3.4160 0.0000 0.0000
0.0066 1.9769 3.1697
```



[9]
Here is a relaxed Nd5Dy3Sb8 crystal from Alexandria. Energies are from PBE-GGA.

Summary:
formation energy from raw total energies	-1795	kJ/mol of formula units
symmetry	No. 166
ρ	7.157	Mg/m³

Structure (POSCAR):
```
Nd5Dy3Sb8
1.0
4.4744 2.5833 7.3019
-4.4744 2.5833 7.3019
0.0000 -5.1666 7.3019
Nd Dy Sb
5 3 8
Cartesian
0.0000 0.0000 0.0000
-2.2372 -1.2917 7.3019
-2.2372 1.2917 14.6038
0.0000 2.5833 7.3019
0.0000 0.0000 10.9528
-4.4744 0.0000 10.9528
-2.2372 1.2917 3.6509
2.2372 1.2917 3.6509
-2.2639 -1.3071 12.7347
0.0000 0.0000 5.4112
0.0000 -2.6142 9.1709
-2.2639 1.3071 9.1709
2.2639 -1.3071 12.7347
0.0000 2.6141 12.7347
0.0000 0.0000 16.4944
2.2639 1.3071 9.1709
```



[10]
Here is a relaxed SrPmMg2Tl4 crystal from Alexandria. Energies are from PBE-GGA.

Summary:
DFT total energy	-2.6513	eV/atom
symmetry	No. 166
ρ	8.188	Mg/m³

Structure (POSCAR):
```
SrPmMg2Tl4
1.0
2.6764 1.5452 8.9803
-2.6764 1.5452 8.9803
0.0000 -3.0905 8.9803
Sr Pm Mg Tl
1 1 2 4
Cartesian
0.0000 0.0000 0.0000
0.0000 0.0000 13.4704
0.0000 0.0000 6.6857
0.0000 0.0000 20.2552
0.0000 0.0000 3.3683
0.0000 0.0000 10.1916
0.0000 0.0000 16.7493
0.0000 0.0000 23.5726
```